Here is a relaxed Tb7Co2Hg crystal from the Alexandria database. Energies are from GGA-PBE.

DOS at the Fermi energy: 0.938 states/eV per atom
Space group: Cmmm (65)
Magnetization: 0.0 μB/cell
Energy of formation: -22 meV/atom

a = 8.0230 Å, b = 8.0230 Å, c = 4.9286 Å
α = 90.00°, β = 90.00°, γ = 112.05°
Fractional coordinates of all 10 atoms:
Tb (0.0000, 0.0000, 0.0000)
Tb (0.1860, 0.4482, 0.0000)
Tb (0.2042, 0.7958, 0.5000)
Tb (0.4482, 0.1860, 0.0000)
Tb (0.5518, 0.8141, 0.0000)
Tb (0.7958, 0.2042, 0.5000)
Tb (0.8141, 0.5518, 0.0000)
Co (0.2038, 0.7962, 0.0000)
Co (0.7962, 0.2038, 0.0000)
Hg (0.5000, 0.5000, 0.5000)

Here is a relaxed TbErInOs crystal from the Alexandria database. Energies are from GGA-PBE.

Energy above the most stable polymorph in this dataset: 0.124 eV per atom
DOS at the Fermi energy: 0.642 states/eV per atom
Space group: F-43m (216)
Magnetization: 0.0 μB/cell
Energy of formation: -247 meV/atom

a = 5.0300 Å, b = 5.0300 Å, c = 5.0300 Å
α = 60.00°, β = 60.00°, γ = 60.00°
Fractional coordinates of all 4 atoms:
Tb (0.0000, 0.0000, 0.0000)
Er (0.5000, 0.5000, 0.5000)
In (0.2500, 0.2500, 0.2500)
Os (0.7500, 0.7500, 0.7500)

Here is a relaxed Ac3Zn2Bi2Pt4 crystal from the Alexandria database. Energies are from GGA-PBE.

DOS at the Fermi energy: 0.692 states/eV per atom
Space group: P-3m1 (164)
Magnetization: 0.0 μB/cell
Energy of formation: -756 meV/atom

a = 4.5996 Å, b = 4.5996 Å, c = 15.6558 Å
α = 90.00°, β = 90.00°, γ = 120.00°
Fractional coordinates of all 11 atoms:
Ac (0.0000, 0.0000, 0.0000)
Ac (0.0000, 0.0000, 0.2620)
Ac (0.0000, 0.0000, 0.7380)
Zn (0.3333, 0.6667, 0.1324)
Zn (0.6667, 0.3333, 0.8676)
Bi (0.3333, 0.6667, 0.5726)
Bi (0.6667, 0.3333, 0.4274)
Pt (0.3333, 0.6667, 0.3718)
Pt (0.3333, 0.6667, 0.8769)
Pt (0.6667, 0.3333, 0.1231)
Pt (0.6667, 0.3333, 0.6282)